(1)
Entry from the Alexandria database: crystalline LaAs2Os at its relaxed geometry (PBE).

a b c (Å): 5.4825 5.4825 5.4825
angles (deg): 134.86 134.86 65.75
Closest atoms and distances in Å follow each position.
Positions (direct):
As: 0.0000 0.0000 0.0000  4 La 2.98, 4 Os 3.12, 4 As 3.12
As: 0.2500 0.7500 0.5000  4 Os 2.98, 4 La 3.12, 4 As 3.12
Os: 0.7500 0.2500 0.5000  8 As 2.98-3.12, 4 La 3.12
La: 0.5000 0.5000 0.0000  8 As 2.98-3.12, 4 Os 3.12

Results
energy relative to the elements = 0.078 eV/atom
volume = 20.39 A^3/atom
magnetic moment = 0.00 μB/cell



(2)
Entry from the Alexandria database: crystalline Tb2Tm2Sb3 at its relaxed geometry (PBE).

a b c (Å): 7.9291 7.9291 7.9291
angles (deg): 109.47 109.47 109.47
Closest atoms and distances in Å follow each position.
Positions (direct):
Tb: 0.5000 0.3520 0.5000  6 Sb 3.07-3.29
Tb: 0.8520 0.5000 0.0000  6 Sb 3.07-3.29
Tb: 0.6480 0.1480 0.1480  6 Sb 3.07-3.29
Tb: 0.0000 0.0000 0.3520  6 Sb 3.07-3.29
Sb: 0.8780 0.2500 0.6280  4 Tm 3.06-3.26, 4 Tb 3.07-3.29
Sb: 0.1280 0.3780 0.2500  4 Tm 3.06-3.26, 4 Tb 3.07-3.29
Sb: 0.3720 0.1220 0.7500  4 Tm 3.06-3.26, 4 Tb 3.07-3.29
Sb: 0.6220 0.7500 0.8720  4 Tm 3.06-3.26, 4 Tb 3.07-3.29
Sb: 0.2500 0.8720 0.1220  4 Tm 3.06-3.26, 4 Tb 3.07-3.29
Sb: 0.7500 0.6280 0.3780  4 Tm 3.06-3.26, 4 Tb 3.07-3.29
Tm: 0.1434 0.6434 0.6434  6 Sb 3.06-3.26
Tm: 0.3566 0.5000 0.0000  6 Sb 3.06-3.26
Tm: 0.0000 0.0000 0.8566  6 Sb 3.06-3.26
Tm: 0.5000 0.8566 0.5000  6 Sb 3.06-3.26

Results
volume = 27.41 A^3/atom
energy = -5.329 eV/atom
magnetic moment = 0.00 μB/cell



(3)
Entry from the Alexandria database: crystalline Fe3Ni6Ir at its relaxed geometry (PBE).

a b c (Å): 6.8236 4.7248 4.7248
angles (deg): 60.39 68.50 68.50
Closest atoms and distances in Å follow each position.
Positions (direct):
Ni: 0.6952 0.4425 0.9312  3 Ni 2.32-2.43, 3 Fe 2.33-2.40
Ni: 0.9280 0.3581 0.3581  1 Ir 2.65, 6 Fe 2.65-2.78, 9 Ni 2.70-2.88
Ni: 0.3048 0.0688 0.5575  3 Ni 2.32-2.43, 3 Fe 2.33-2.40
Ni: 0.0720 0.6419 0.6419  1 Ir 2.65, 6 Fe 2.65-2.78, 9 Ni 2.70-2.88
Ni: 0.6952 0.9312 0.4425  3 Ni 2.32-2.43, 3 Fe 2.33-2.40
Ni: 0.3048 0.5575 0.0688  3 Ni 2.32-2.43, 3 Fe 2.33-2.40
Ir: 0.5000 0.5000 0.5000  10 Ni 2.63-2.68, 4 Fe 2.67
Fe: 0.6972 0.9333 0.9333  4 Ni 2.33-2.40, 2 Fe 2.35-2.44
Fe: 0.3028 0.0667 0.0667  4 Ni 2.33-2.40, 2 Fe 2.35-2.44
Fe: 0.0000 0.0000 0.0000  4 Ni 2.33, 2 Fe 2.35

Results
energy relative to the elements = 0.119 eV/atom
volume = 11.99 A^3/atom
magnetic moment = 12.77 μB/cell



(4)
Entry from the Alexandria database: crystalline Ba2NbSN at its relaxed geometry (PBE).

a b c (Å): 5.7872 4.1244 5.7872
angles (deg): 90.00 90.00 90.00
Closest atoms and distances in Å follow each position.
Positions (direct):
Ba: 0.0000 0.0000 0.5000  2 N 2.89
Ba: 0.5000 0.0000 0.0000  2 N 2.89
N: 0.0000 0.0000 0.0000  2 Nb 2.06
Nb: 0.0000 0.5000 0.0000  2 N 2.06
S: 0.5000 0.5000 0.5000  8 Ba 3.55

Results
volume = 27.63 A^3/atom
energy = -5.864 eV/atom
magnetic moment = 3.03 μB/cell



(5)
Entry from the Alexandria database: crystalline Ti2GeCCl at its relaxed geometry (PBE).

a b c (Å): 4.5758 3.6284 4.5758
angles (deg): 90.00 90.00 90.00
Closest atoms and distances in Å follow each position.
Positions (direct):
Cl: 0.0000 0.0000 0.0000  2 C 1.81
Ge: 0.5000 0.5000 0.5000  8 Ti 2.92, 4 C 3.24
C: 0.0000 0.5000 0.0000  2 Cl 1.81
Ti: 0.0000 0.0000 0.5000  2 Cl 2.29
Ti: 0.5000 0.0000 0.0000  2 Cl 2.29

Results
volume = 15.19 A^3/atom
energy = -5.308 eV/atom
magnetic moment = 0.00 μB/cell



(6)
Entry from the Alexandria database: crystalline TbDyAs at its relaxed geometry (PBE).

a b c (Å): 3.9672 3.9672 6.4930
angles (deg): 90.00 90.00 120.00
Closest atoms and distances in Å follow each position.
Positions (direct):
Dy: 0.3333 0.6667 0.5938  3 As 2.84
Tb: 0.0000 0.0000 0.0719  3 As 2.85
As: 0.6667 0.3333 0.3343  3 Dy 2.84, 3 Tb 2.85

Results
energy relative to the elements = -0.856 eV/atom
volume = 29.50 A^3/atom
magnetic moment = 0.87 μB/cell



(7)
Entry from the Alexandria database: crystalline TaHIr2W at its relaxed geometry (PBE).

a b c (Å): 3.9673 3.9673 4.0972
angles (deg): 90.00 90.00 90.00
Closest atoms and distances in Å follow each position.
Positions (direct):
W: 0.0000 0.0000 0.5000  2 H 2.05
Ir: 0.0000 0.5000 0.0000  2 H 1.98
Ir: 0.5000 0.0000 0.0000  2 H 1.98
H: 0.0000 0.0000 0.0000  4 Ir 1.98, 2 W 2.05
Ta: 0.5000 0.5000 0.5000  4 W 2.81, 8 Ir 2.85

Results
volume = 12.90 A^3/atom
energy = -9.431 eV/atom
magnetic moment = 0.00 μB/cell